(A)
# HfFeCuGe PBE optimized geometry
# ρ in g cm⁻³: 10.29
data_HfFeCuGe
_cell_length_a 6.208
_cell_length_b 6.208
_cell_length_c 6.208
_cell_angle_alpha 90.00
_cell_angle_beta 90.00
_cell_angle_gamma 90.00
_symmetry_space_group_name_H-M 'F -4 3 m'
_symmetry_Int_Tables_number 216
_symmetry_space_group_name_Hall 'F -4 2 3'
loop_
_atom_site_label
_atom_site_type_symbol
_atom_site_fract_x
_atom_site_fract_y
_atom_site_fract_z
Hf1 Hf 0.000 0.000 0.000
Fe1 Fe 0.000 0.000 0.500
Cu1 Cu 0.250 0.250 0.750
Ge1 Ge 0.250 0.250 0.250



(B)
# HfFeCuGe PBE optimized geometry
# ρ in g cm⁻³: 10.14
data_HfFeCuGe
_cell_length_a 6.238
_cell_length_b 6.238
_cell_length_c 6.238
_cell_angle_alpha 90.00
_cell_angle_beta 90.00
_cell_angle_gamma 90.00
_symmetry_space_group_name_H-M 'F -4 3 m'
_symmetry_Int_Tables_number 216
_symmetry_space_group_name_Hall 'F -4 2 3'
loop_
_atom_site_label
_atom_site_type_symbol
_atom_site_fract_x
_atom_site_fract_y
_atom_site_fract_z
Hf1 Hf 0.000 0.000 0.000
Fe1 Fe 0.250 0.250 0.750
Cu1 Cu 0.000 0.000 0.500
Ge1 Ge 0.250 0.250 0.250



Least stable = (B)